(1)
This record from Alexandria via LeMat-Bulk describes Se2IO2 after structural relaxation. The functional is PBE.

The space group is I4/mmm (No. 139) and the conventional cell measures 4.3145, 4.3145 and 11.2750 Å, with angles of 90.00, 90.00 and 90.00 degrees. The distinct sites, in fractional coordinates, are Se at (0.0000, 0.5000, 0.2500), I at (0.0000, 0.0000, 0.0000) and O at (0.0000, 0.0000, 0.2865).

As for the uncorrected formation energy: 370 meV per atom. The offset from the most stable computed form is 334 meV per atom. As for the magnetization: 0.00 μB per formula unit.

(2)
This record from Alexandria via LeMat-Bulk describes Se2IO2 after structural relaxation. The functional is PBE.

The space group is I4/mmm (No. 139) and the conventional cell measures 4.1430, 4.1430 and 11.5008 Å, with angles of 90.00, 90.00 and 90.00 degrees. The distinct sites, in fractional coordinates, are Se at (0.0000, 0.0000, 0.1932), I at (0.0000, 0.0000, 0.5000) and O at (0.0000, 0.5000, 0.2500).

As for the uncorrected formation energy: 238 meV per atom. The offset from the most stable computed form is 202 meV per atom. As for the magnetization: 0.00 μB per formula unit.